Record 1
The following is a PBE calculation of crystalline La7Pr4Nd at its relaxed geometry, from the Alexandria database.

As for the energy above the most stable polymorph in this dataset: 0.0 kJ per mole of atoms. The calculation puts the formation energy from the elements at 0.13 eV/f.u.

The structure belongs to space group P-1 (No. 2); the cell edges are 6.4515, 7.4370 and 9.8438 Å and the angles 78.94°, 71.03° and 89.89°. Symmetry generates all atoms from La at (0.0000, 0.0000, 0.0000), La at (0.1668, 0.4168, 0.3332), La at (0.3335, 0.8327, 0.6674), La at (0.4995, 0.2506, 0.0005), Pr at (0.1669, 0.9169, 0.3332), Pr at (0.3343, 0.3332, 0.6670) and Nd at (0.0000, 0.5000, 0.0000).



Record 2
The following is a PBE calculation of crystalline CaAc2Rh2 at its relaxed geometry, from the Alexandria database.

As for the energy above the most stable polymorph in this dataset: 1.1 kJ per mole of atoms. The calculation puts the formation energy from the elements at -2.65 eV/f.u.

The structure belongs to space group P2_1/m (No. 11); the cell edges are 5.9409, 4.5327 and 11.1746 Å and the angles 90.00°, 100.95° and 90.00°. Symmetry generates all atoms from Ca at (0.0426, 0.2500, 0.2920), Ac at (0.2684, 0.7500, 0.0420), Ac at (0.3829, 0.2500, 0.6169), Rh at (0.1561, 0.7500, 0.4704) and Rh at (0.1882, 0.2500, 0.8674).



Record 3
The following is a PBE calculation of crystalline Al2RhW at its relaxed geometry, from the Alexandria database.

As for the energy above the most stable polymorph in this dataset: 20.5 kJ per mole of atoms. The calculation puts the formation energy from the elements at -0.94 eV/f.u.

The structure belongs to space group P4mm (No. 99); the cell edges are 2.7899, 2.7899 and 7.8965 Å and the angles 90.00°, 90.00° and 90.00°. Symmetry generates all atoms from Al at (0.0000, 0.0000, 0.0000), Al at (0.5000, 0.5000, 0.2911), Rh at (0.0000, 0.0000, 0.5066) and W at (0.5000, 0.5000, 0.7505).



Record 4
The following is a PBE calculation of crystalline Ho2MnAl12Fe3 at its relaxed geometry, from the Alexandria database.

The calculation puts the formation energy from the elements at 5.01 eV/f.u.

The structure belongs to space group R-3m (No. 166, hexagonal axes); the cell edges are 8.6537, 8.6537 and 17.2018 Å and the angles 90.00°, 90.00° and 120.00°. Symmetry generates all atoms from Ho at (0.0000, 0.0000, 0.0955), Mn at (0.0000, 0.0000, 0.5000), Al at (0.0109, 0.5054, 0.8661), Al at (0.0700, 0.5350, 0.3005) and Fe at (0.0000, 0.5000, 0.0000).



Record 5
The following is a PBE calculation of crystalline BaCuSbO5 at its relaxed geometry, from the Alexandria database.

As for the energy above the most stable polymorph in this dataset: 18.7 kJ per mole of atoms. Its energy relative to the elements, uncorrected is -9.9 eV/f.u.

The structure belongs to space group P4mm (No. 99); the cell edges are 3.7665, 3.7665 and 9.5349 Å and the angles 90.00°, 90.00° and 90.00°. Symmetry generates all atoms from Ba at (0.0000, 0.0000, 0.0000), Cu at (0.5000, 0.5000, 0.2410), Sb at (0.5000, 0.5000, 0.6852), O at (0.0000, 0.5000, 0.2007), O at (0.0000, 0.5000, 0.6302) and O at (0.5000, 0.5000, 0.8877).



Record 6
The following is a PBE calculation of crystalline TcP2N at its relaxed geometry, from the Alexandria database.

Its energy relative to the elements, uncorrected is 1.1 eV/f.u.

The structure belongs to space group I-42d (No. 122); the cell edges are 5.1660, 5.1660 and 7.9083 Å and the angles 90.00°, 90.00° and 90.00°. Symmetry generates all atoms from Tc at (0.0000, 0.0000, 0.0000), P at (0.1910, 0.2500, 0.6250) and N at (0.0000, 0.0000, 0.5000).